This record from Alexandria via LeMat-Bulk describes an optimized crystal structure of HfTl3Tc. The functional is PBE.

crystal system = cubic
ΔE to the lowest computed polymorph = 0.00 eV per formula unit
calculated formation energy = 1.0822 eV/atom
magnetization = 0.277 μB/atom
DOS at the Fermi energy = 1.3338 states/eV per atom

Lattice parameters (Å, degrees): 5.246 5.246 5.246 90.00 90.00 90.00
Positions (direct):
Tl (0.000, 0.500, 0.000)
Tl (0.000, 0.000, 0.500)
Tl (0.500, 0.000, 0.000)
Hf (0.500, 0.500, 0.500)
Tc (0.000, 0.000, 0.000)